1.
CaZrAs: optimized geometry, GGA-PBE. Values from VASP.

```
&SYSTEM
  ibrav = 0, nat = 6, ntyp = 3
/
ATOMIC_SPECIES
As 74.92 As.upf
Ca 40.08 Ca.upf
Zr 91.22 Zr.upf
ATOMIC_POSITIONS crystal
As 0.0000 0.5000 0.2539
As 0.5000 0.0000 0.7461
Ca 0.0000 0.5000 0.6509
Ca 0.5000 0.0000 0.3491
Zr 0.5000 0.5000 0.0000
Zr 0.0000 0.0000 0.0000
CELL_PARAMETERS angstrom
-4.1510 0.5861 0.5176
0.4381 -0.5726 4.1620
1.2202 7.8069 0.9456
```

Summary:
VASP energy: -5.99 eV per atom
Energy relative to the elements: -21.3 kcal/mol of atoms
Distance to the lowest polymorph of the same formula: 0.0 meV per atom
Total moment: 0.00 μB per cell

=====

2.
KPt6: optimized geometry, GGA-PBE. Values from VASP.

```
&SYSTEM
  ibrav = 0, nat = 7, ntyp = 2
/
ATOMIC_SPECIES
Pt 195.08 Pt.upf
K 39.10 K.upf
ATOMIC_POSITIONS crystal
Pt 0.5000 0.7500 0.2500
Pt 0.2500 0.7500 0.5000
Pt 0.5000 0.2500 0.7500
Pt 0.7500 0.5000 0.2500
Pt 0.7500 0.2500 0.5000
Pt 0.2500 0.5000 0.7500
K 0.0000 0.0000 0.0000
CELL_PARAMETERS angstrom
6.1472 0.0000 0.0000
-2.0491 5.7956 0.0000
-2.0491 -2.8978 5.0191
```

Summary:
VASP energy: -4.96 eV per atom
Energy relative to the elements: 8.6 kcal/mol of atoms
Total moment: 2.22 μB per cell

=====

3.
ZrTe2: optimized geometry, GGA-PBE. Values from VASP.

```
&SYSTEM
  ibrav = 0, nat = 3, ntyp = 2
/
ATOMIC_SPECIES
Te 127.60 Te.upf
Zr 91.22 Zr.upf
ATOMIC_POSITIONS crystal
Te 0.5000 0.0000 0.5000
Te 0.0000 0.5000 0.5000
Zr 0.0000 0.0000 0.0000
CELL_PARAMETERS angstrom
-4.4236 -1.9108 1.0166
1.9180 -2.3890 3.8557
-0.7374 2.8377 2.1251
```

Summary:
ΔE_f (raw): -0.365 eV/atom
VASP energy: -5.31 eV per atom
Total moment: 0.00 μB per cell

=====

4.
La2MgGeOs: optimized geometry, GGA-PBE. Values from VASP.

```
&SYSTEM
  ibrav = 0, nat = 5, ntyp = 4
/
ATOMIC_SPECIES
La 138.91 La.upf
Os 190.23 Os.upf
Mg 24.30 Mg.upf
Ge 72.64 Ge.upf
ATOMIC_POSITIONS crystal
La 0.0000 0.0000 0.5000
La 0.5000 0.0000 0.0000
Os 0.0000 0.5000 0.0000
Mg 0.0000 0.0000 0.0000
Ge 0.5000 0.5000 0.5000
CELL_PARAMETERS angstrom
-1.3515 2.5505 -4.9406
-2.6934 -3.6140 -1.1289
-4.4624 2.5355 2.5296
```

Summary:
VASP energy: -4.63 eV per atom
Energy relative to the elements: 19.2 kcal/mol of atoms
Total moment: 0.00 μB per cell

=====

Density list, top to bottom, in g/cm³: 4.8 11.2 6.6 6.2